# PBE Cs12Ag3H5, relaxed
# Density in g/cm3: 3.2
# Crystal system: cubic
# E in eV per atom: -1.783
# Space group: Ia-3d (230)
data_Cs12Ag3H5
_chemical_formula_sum 'Cs48 Ag12 H20'
_cell_length_a 17.331
_cell_length_b 17.331
_cell_length_c 17.331
_cell_angle_alpha 109.47
_cell_angle_beta 109.47
_cell_angle_gamma 109.47
_symmetry_space_group_name_H-M 'P 1'
_symmetry_Int_Tables_number 1
_symmetry_space_group_name_Hall 'P 1'
loop_
_atom_site_label
_atom_site_fract_x
_atom_site_fract_y
_atom_site_fract_z
Ag1 0.750 0.375 0.125
Ag2 0.875 0.750 0.125
Ag3 0.375 0.750 0.625
Ag4 0.250 0.125 0.375
Ag5 0.875 0.125 0.250
Ag6 0.375 0.625 0.250
Ag7 0.625 0.375 0.750
Ag8 0.125 0.875 0.750
Ag9 0.750 0.875 0.625
Ag10 0.625 0.250 0.375
Ag11 0.125 0.250 0.875
Ag12 0.250 0.625 0.875
H1 0.125 0.375 0.250
H2 0.000 0.500 0.000
H3 0.000 0.000 0.000
H4 0.375 0.250 0.125
H5 0.500 0.000 0.500
H6 0.500 0.500 0.000
H7 0.125 0.750 0.375
H8 0.750 0.125 0.875
H9 0.750 0.625 0.375
H10 0.375 0.125 0.750
H11 0.625 0.875 0.250
H12 0.500 0.500 0.500
H13 0.500 0.000 0.000
H14 0.000 0.000 0.500
H15 0.250 0.375 0.625
H16 0.250 0.875 0.125
H17 0.000 0.500 0.500
H18 0.875 0.250 0.625
H19 0.625 0.750 0.875
H20 0.875 0.625 0.750
Cs1 0.701 0.121 0.021
Cs2 0.320 0.521 0.400
Cs3 0.979 0.379 0.299
Cs4 0.521 0.201 0.121
Cs5 0.580 0.701 0.680
Cs6 0.979 0.600 0.180
Cs7 0.320 0.799 0.420
Cs8 0.100 0.920 0.121
Cs9 0.600 0.979 0.680
Cs10 0.701 0.580 0.180
Cs11 0.799 0.479 0.379
Cs12 0.820 0.900 0.021
Cs13 0.121 0.701 0.521
Cs14 0.379 0.400 0.080
Cs15 0.080 0.900 0.379
Cs16 0.420 0.121 0.600
Cs17 0.080 0.180 0.201
Cs18 0.479 0.680 0.100
Cs19 0.820 0.920 0.299
Cs20 0.121 0.420 0.100
Cs21 0.379 0.979 0.799
Cs22 0.600 0.621 0.420
Cs23 0.900 0.820 0.521
Cs24 0.799 0.320 0.920
Cs25 0.400 0.379 0.580
Cs26 0.100 0.180 0.479
Cs27 0.201 0.680 0.080
Cs28 0.180 0.080 0.701
Cs29 0.621 0.021 0.201
Cs30 0.879 0.580 0.900
Cs31 0.521 0.320 0.900
Cs32 0.580 0.879 0.400
Cs33 0.920 0.820 0.799
Cs34 0.920 0.100 0.621
Cs35 0.879 0.299 0.479
Cs36 0.180 0.100 0.979
Cs37 0.621 0.600 0.920
Cs38 0.400 0.021 0.320
Cs39 0.299 0.420 0.820
Cs40 0.201 0.521 0.621
Cs41 0.900 0.080 0.879
Cs42 0.680 0.201 0.580
Cs43 0.479 0.799 0.879
Cs44 0.021 0.400 0.820
Cs45 0.420 0.299 0.320
Cs46 0.021 0.621 0.701
Cs47 0.680 0.479 0.600
Cs48 0.299 0.879 0.979

# PBE In2CuSn2, relaxed
# Density in g/cm3: 6.4
# Energy of formation from the pure elements in eV/f.u.: 1.88
# Crystal system: tetragonal
# Space group: I4/mmm (139)
data_In2CuSn2
_chemical_formula_sum 'In2 Cu1 Sn2'
_cell_length_a 4.129
_cell_length_b 4.129
_cell_length_c 8.622
_cell_angle_alpha 76.15
_cell_angle_beta 76.15
_cell_angle_gamma 90.00
_symmetry_space_group_name_H-M 'P 1'
_symmetry_Int_Tables_number 1
_symmetry_space_group_name_Hall 'P 1'
loop_
_atom_site_label
_atom_site_fract_x
_atom_site_fract_y
_atom_site_fract_z
Sn1 0.750 0.250 0.500
Sn2 0.250 0.750 0.500
Cu1 0.000 0.000 0.000
In1 0.411 0.411 0.178
In2 0.589 0.589 0.822

# PBE HfTlHg2, relaxed
# Density in g/cm3: 12.5
# Energy of formation from the pure elements in eV/f.u.: 1.05
# Crystal system: trigonal
# Space group: R3m (160)
data_HfTlHg2
_chemical_formula_sum 'Hf1 Tl1 Hg2'
_cell_length_a 4.677
_cell_length_b 4.677
_cell_length_c 6.118
_cell_angle_alpha 67.53
_cell_angle_beta 67.53
_cell_angle_gamma 60.00
_symmetry_space_group_name_H-M 'P 1'
_symmetry_Int_Tables_number 1
_symmetry_space_group_name_Hall 'P 1'
loop_
_atom_site_label
_atom_site_fract_x
_atom_site_fract_y
_atom_site_fract_z
Hf1 0.677 0.677 0.969
Tl1 0.492 0.492 0.524
Hg1 0.066 0.066 0.803
Hg2 0.265 0.265 0.205

# PBE Li2SmBi, relaxed
# Density in g/cm3: 6.9
# Energy of formation from the pure elements in eV/f.u.: -1.20
# Crystal system: trigonal
# Space group: R-3m (166)
data_Li2SmBi
_chemical_formula_sum 'Li2 Sm1 Bi1'
_cell_length_a 5.025
_cell_length_b 5.025
_cell_length_c 5.015
_cell_angle_alpha 59.94
_cell_angle_beta 59.94
_cell_angle_gamma 60.00
_symmetry_space_group_name_H-M 'P 1'
_symmetry_Int_Tables_number 1
_symmetry_space_group_name_Hall 'P 1'
loop_
_atom_site_label
_atom_site_fract_x
_atom_site_fract_y
_atom_site_fract_z
Bi1 0.000 0.000 0.000
Sm1 0.500 0.500 0.500
Li1 0.250 0.250 0.251
Li2 0.750 0.750 0.749

# PBE NaBiAsSe2, relaxed
# Density in g/cm3: 4.4
# Crystal system: tetragonal
# Space group: P4/mmm (123)
# Formation energy without anion corrections in eV per atom: 0.21
data_NaBiAsSe2
_chemical_formula_sum 'Na1 Bi1 As1 Se2'
_cell_length_a 5.648
_cell_length_b 5.648
_cell_length_c 5.526
_cell_angle_alpha 90.00
_cell_angle_beta 90.00
_cell_angle_gamma 90.00
_symmetry_space_group_name_H-M 'P 1'
_symmetry_Int_Tables_number 1
_symmetry_space_group_name_Hall 'P 1'
loop_
_atom_site_label
_atom_site_fract_x
_atom_site_fract_y
_atom_site_fract_z
Na1 0.500 0.500 0.500
As1 0.000 0.000 0.500
Bi1 0.000 0.000 0.000
Se1 0.000 0.500 0.000
Se2 0.500 0.000 0.000

# PBE Be2P2I, relaxed
# Density in g/cm3: 3.7
# Crystal system: tetragonal
# Space group: I4/mmm (139)
# Formation energy without anion corrections in eV per atom: 0.32
data_Be2P2I
_chemical_formula_sum 'Be2 P2 I1'
_cell_length_a 3.745
_cell_length_b 3.745
_cell_length_c 7.078
_cell_angle_alpha 74.66
_cell_angle_beta 74.66
_cell_angle_gamma 90.00
_symmetry_space_group_name_H-M 'P 1'
_symmetry_Int_Tables_number 1
_symmetry_space_group_name_Hall 'P 1'
loop_
_atom_site_label
_atom_site_fract_x
_atom_site_fract_y
_atom_site_fract_z
I1 0.000 0.000 0.000
P1 0.750 0.250 0.500
P2 0.250 0.750 0.500
Be1 0.344 0.344 0.312
Be2 0.656 0.656 0.688

# PBE Pr2Nd9Sm3, relaxed
# Density in g/cm3: 6.6
# Energy of formation from the pure elements in eV/f.u.: 3.25
# Crystal system: hexagonal
# Space group: P6_3/m (176)
data_Pr2Nd9Sm3
_chemical_formula_sum 'Pr4 Nd18 Sm6'
_cell_length_a 9.250
_cell_length_b 9.250
_cell_length_c 13.868
_cell_angle_alpha 90.00
_cell_angle_beta 90.00
_cell_angle_gamma 120.00
_symmetry_space_group_name_H-M 'P 1'
_symmetry_Int_Tables_number 1
_symmetry_space_group_name_Hall 'P 1'
loop_
_atom_site_label
_atom_site_fract_x
_atom_site_fract_y
_atom_site_fract_z
Pr1 0.667 0.333 0.639
Pr2 0.667 0.333 0.861
Pr3 0.333 0.667 0.139
Pr4 0.333 0.667 0.361
Nd1 0.520 0.602 0.750
Nd2 0.723 0.595 0.459
Nd3 0.723 0.595 0.041
Nd4 0.398 0.918 0.750
Nd5 0.872 0.277 0.041
Nd6 0.872 0.277 0.459
Nd7 0.405 0.128 0.041
Nd8 0.405 0.128 0.459
Nd9 0.918 0.520 0.250
Nd10 0.082 0.480 0.750
Nd11 0.595 0.872 0.959
Nd12 0.595 0.872 0.541
Nd13 0.128 0.723 0.541
Nd14 0.128 0.723 0.959
Nd15 0.602 0.082 0.250
Nd16 0.277 0.405 0.541
Nd17 0.277 0.405 0.959
Nd18 0.480 0.398 0.250
Sm1 0.751 0.831 0.250
Sm2 0.169 0.920 0.250
Sm3 0.080 0.249 0.250
Sm4 0.920 0.751 0.750
Sm5 0.831 0.080 0.750
Sm6 0.249 0.169 0.750

# PBE Pm3Mg5, relaxed
# Density in g/cm3: 4.1
# Energy of formation from the pure elements in eV/f.u.: -0.50
# Crystal system: cubic
# Space group: Im-3m (229)
data_Pm3Mg5
_chemical_formula_sum 'Pm3 Mg5'
_cell_length_a 6.614
_cell_length_b 6.614
_cell_length_c 6.614
_cell_angle_alpha 109.47
_cell_angle_beta 109.47
_cell_angle_gamma 109.47
_symmetry_space_group_name_H-M 'P 1'
_symmetry_Int_Tables_number 1
_symmetry_space_group_name_Hall 'P 1'
loop_
_atom_site_label
_atom_site_fract_x
_atom_site_fract_y
_atom_site_fract_z
Pm1 0.000 0.500 0.500
Pm2 0.500 0.000 0.500
Pm3 0.500 0.500 0.000
Mg1 0.000 0.000 0.000
Mg2 0.500 0.000 0.000
Mg3 0.500 0.500 0.500
Mg4 0.000 0.500 0.000
Mg5 0.000 0.000 0.500

# PBE SrLi3Bi, relaxed
# Density in g/cm3: 3.4
# Energy of formation from the pure elements in eV/f.u.: -1.06
# Crystal system: cubic
# Space group: Pm-3m (221)
data_SrLi3Bi
_chemical_formula_sum 'Sr1 Li3 Bi1'
_cell_length_a 5.365
_cell_length_b 5.365
_cell_length_c 5.365
_cell_angle_alpha 90.00
_cell_angle_beta 90.00
_cell_angle_gamma 90.00
_symmetry_space_group_name_H-M 'P 1'
_symmetry_Int_Tables_number 1
_symmetry_space_group_name_Hall 'P 1'
loop_
_atom_site_label
_atom_site_fract_x
_atom_site_fract_y
_atom_site_fract_z
Sr1 0.500 0.500 0.500
Bi1 0.000 0.000 0.000
Li1 0.000 0.500 0.000
Li2 0.000 0.000 0.500
Li3 0.500 0.000 0.000

# PBE Pm2Sn2Au, relaxed
# Density in g/cm3: 9.0
# Energy of formation from the pure elements in eV/f.u.: -3.87
# Crystal system: monoclinic
# Space group: C2/m (12)
data_Pm2Sn2Au
_chemical_formula_sum 'Pm4 Sn4 Au2'
_cell_length_a 4.641
_cell_length_b 6.179
_cell_length_c 10.306
_cell_angle_alpha 88.91
_cell_angle_beta 76.99
_cell_angle_gamma 67.94
_symmetry_space_group_name_H-M 'P 1'
_symmetry_Int_Tables_number 1
_symmetry_space_group_name_Hall 'P 1'
loop_
_atom_site_label
_atom_site_fract_x
_atom_site_fract_y
_atom_site_fract_z
Pm1 0.676 0.321 0.326
Pm2 0.927 0.254 0.891
Pm3 0.324 0.679 0.674
Pm4 0.073 0.746 0.109
Sn1 0.085 0.267 0.563
Sn2 0.650 0.810 0.889
Sn3 0.915 0.733 0.437
Sn4 0.350 0.190 0.111
Au1 0.623 0.088 0.666
Au2 0.377 0.912 0.334

# PBE Hf3N2O3, relaxed
# Density in g/cm3: 9.0
# Crystal system: monoclinic
# Space group: Cm (8)
# Formation energy without anion corrections in eV per atom: -2.73
data_Hf3N2O3
_chemical_formula_sum 'Hf6 N4 O6'
_cell_length_a 5.668
_cell_length_b 5.668
_cell_length_c 10.645
_cell_angle_alpha 89.45
_cell_angle_beta 89.45
_cell_angle_gamma 41.36
_symmetry_space_group_name_H-M 'P 1'
_symmetry_Int_Tables_number 1
_symmetry_space_group_name_Hall 'P 1'
loop_
_atom_site_label
_atom_site_fract_x
_atom_site_fract_y
_atom_site_fract_z
Hf1 0.816 0.816 0.249
Hf2 0.855 0.855 0.941
Hf3 0.863 0.863 0.555
Hf4 0.192 0.192 0.749
Hf5 0.143 0.143 0.055
Hf6 0.137 0.137 0.441
N1 0.700 0.700 0.079
N2 0.953 0.953 0.385
N3 0.295 0.295 0.575
N4 0.299 0.299 0.920
O1 0.689 0.689 0.420
O2 0.751 0.751 0.752
O3 0.955 0.955 0.113
O4 0.246 0.246 0.258
O5 0.044 0.044 0.885
O6 0.042 0.042 0.620

# PBE CuAgN2O, relaxed
# Density in g/cm3: 5.2
# Crystal system: tetragonal
# Space group: P4/mmm (123)
# Formation energy without anion corrections in eV per atom: 2.01
data_CuAgN2O
_chemical_formula_sum 'Cu1 Ag1 N2 O1'
_cell_length_a 4.041
_cell_length_b 4.041
_cell_length_c 4.190
_cell_angle_alpha 90.00
_cell_angle_beta 90.00
_cell_angle_gamma 90.00
_symmetry_space_group_name_H-M 'P 1'
_symmetry_Int_Tables_number 1
_symmetry_space_group_name_Hall 'P 1'
loop_
_atom_site_label
_atom_site_fract_x
_atom_site_fract_y
_atom_site_fract_z
O1 0.000 0.000 0.500
Cu1 0.500 0.500 0.500
Ag1 0.000 0.000 0.000
N1 0.000 0.500 0.000
N2 0.500 0.000 0.000

Which value of density does entry 4 give? 6.9 g/cm3

Please write out number 11 again, unchanged.
# PBE Hf3N2O3, relaxed
# Density in g/cm3: 9.0
# Crystal system: monoclinic
# Space group: Cm (8)
# Formation energy without anion corrections in eV per atom: -2.73
data_Hf3N2O3
_chemical_formula_sum 'Hf6 N4 O6'
_cell_length_a 5.668
_cell_length_b 5.668
_cell_length_c 10.645
_cell_angle_alpha 89.45
_cell_angle_beta 89.45
_cell_angle_gamma 41.36
_symmetry_space_group_name_H-M 'P 1'
_symmetry_Int_Tables_number 1
_symmetry_space_group_name_Hall 'P 1'
loop_
_atom_site_label
_atom_site_fract_x
_atom_site_fract_y
_atom_site_fract_z
Hf1 0.816 0.816 0.249
Hf2 0.855 0.855 0.941
Hf3 0.863 0.863 0.555
Hf4 0.192 0.192 0.749
Hf5 0.143 0.143 0.055
Hf6 0.137 0.137 0.441
N1 0.700 0.700 0.079
N2 0.953 0.953 0.385
N3 0.295 0.295 0.575
N4 0.299 0.299 0.920
O1 0.689 0.689 0.420
O2 0.751 0.751 0.752
O3 0.955 0.955 0.113
O4 0.246 0.246 0.258
O5 0.044 0.044 0.885
O6 0.042 0.042 0.620

Which of these has the lowest density? Cs12Ag3H5